! SnB3Sb PBE optimized geometry; values from VASP
&SYSTEM
  ibrav = 0, nat = 5, ntyp = 3
/
ATOMIC_SPECIES
Sn 118.71 Sn.upf
B 10.81 B.upf
Sb 121.76 Sb.upf
CELL_PARAMETERS angstrom
4.5304 0.0000 0.0000
0.0000 4.5304 0.0000
0.0000 0.0000 4.5304
ATOMIC_POSITIONS crystal
Sn 0.0000 0.0000 0.0000
B 0.0000 0.0000 0.5000
B 0.0000 0.5000 0.0000
B 0.5000 0.0000 0.0000
Sb 0.5000 0.5000 0.5000
! uncorrected energy: -3.635 eV per atom
! total magnetization: 0.00 μB/f.u.
! formation energy without anion corrections: 193 kJ/mol of atoms
! SG: Pm-3m, No. 221
! D(E_F): 0.40 states/eV/atom